(1)
# PBE NaCaLuIn, relaxed
data_NaCaLuIn
_chemical_formula_sum 'Na4 Ca4 Lu4 In4'
_cell_length_a 7.685
_cell_length_b 7.685
_cell_length_c 7.685
_cell_angle_alpha 90.00
_cell_angle_beta 90.00
_cell_angle_gamma 90.00
_space_group_name_H-M_alt 'F -4 3 m'
_space_group_IT_number 216
_space_group_name_Hall 'F -4 2 3'
loop_
_atom_site_label
_atom_site_fract_x
_atom_site_fract_y
_atom_site_fract_z
Na1 0.000 0.000 0.000
Ca1 0.250 0.250 0.750
Lu1 0.250 0.250 0.250
In1 0.000 0.000 0.500
# calculated total energy: -2.768 eV/atom
# energy of formation: -0.493 eV/f.u.
# total magnetization: 0.00 μB/cell

(2)
# PBE CaLuInPb, relaxed
data_CaLuInPb
_chemical_formula_sum 'Ca4 Lu4 In4 Pb4'
_cell_length_a 7.643
_cell_length_b 7.643
_cell_length_c 7.643
_cell_angle_alpha 90.00
_cell_angle_beta 90.00
_cell_angle_gamma 90.00
_space_group_name_H-M_alt 'F -4 3 m'
_space_group_IT_number 216
_space_group_name_Hall 'F -4 2 3'
loop_
_atom_site_label
_atom_site_fract_x
_atom_site_fract_y
_atom_site_fract_z
Ca1 0.000 0.000 0.000
Lu1 0.000 0.000 0.500
In1 0.250 0.250 0.250
Pb1 0.250 0.250 0.750
# calculated total energy: -3.618 eV/atom
# energy of formation: -1.504 eV/f.u.
# total magnetization: 0.00 μB/cell

(3)
# PBE CaPrLuIn, relaxed
data_CaPrLuIn
_chemical_formula_sum 'Ca4 Pr4 Lu4 In4'
_cell_length_a 7.830
_cell_length_b 7.830
_cell_length_c 7.830
_cell_angle_alpha 90.00
_cell_angle_beta 90.00
_cell_angle_gamma 90.00
_space_group_name_H-M_alt 'F -4 3 m'
_space_group_IT_number 216
_space_group_name_Hall 'F -4 2 3'
loop_
_atom_site_label
_atom_site_fract_x
_atom_site_fract_y
_atom_site_fract_z
Ca1 0.000 0.000 0.000
Pr1 0.250 0.250 0.750
Lu1 0.250 0.250 0.250
In1 0.000 0.000 0.500
# calculated total energy: -3.641 eV/atom
# energy of formation: -0.525 eV/f.u.
# total magnetization: 0.00 μB/cell

(4)
# PBE CaLuInPt, relaxed
data_CaLuInPt
_chemical_formula_sum 'Ca4 Lu4 In4 Pt4'
_cell_length_a 7.177
_cell_length_b 7.177
_cell_length_c 7.177
_cell_angle_alpha 90.00
_cell_angle_beta 90.00
_cell_angle_gamma 90.00
_space_group_name_H-M_alt 'F -4 3 m'
_space_group_IT_number 216
_space_group_name_Hall 'F -4 2 3'
loop_
_atom_site_label
_atom_site_fract_x
_atom_site_fract_y
_atom_site_fract_z
Ca1 0.000 0.000 0.000
Lu1 0.000 0.000 0.500
In1 0.250 0.250 0.750
Pt1 0.250 0.250 0.250
# calculated total energy: -4.510 eV/atom
# energy of formation: -2.740 eV/f.u.
# total magnetization: 0.00 μB/cell

(5)
# PBE CaLuInSn, relaxed
data_CaLuInSn
_chemical_formula_sum 'Ca4 Lu4 In4 Sn4'
_cell_length_a 7.550
_cell_length_b 7.550
_cell_length_c 7.550
_cell_angle_alpha 90.00
_cell_angle_beta 90.00
_cell_angle_gamma 90.00
_space_group_name_H-M_alt 'F -4 3 m'
_space_group_IT_number 216
_space_group_name_Hall 'F -4 2 3'
loop_
_atom_site_label
_atom_site_fract_x
_atom_site_fract_y
_atom_site_fract_z
Ca1 0.000 0.000 0.000
Lu1 0.000 0.000 0.500
In1 0.250 0.250 0.750
Sn1 0.250 0.250 0.250
# calculated total energy: -3.768 eV/atom
# energy of formation: -1.807 eV/f.u.
# total magnetization: 0.00 μB/cell

(6)
# PBE CaTbLuIn, relaxed
data_CaTbLuIn
_chemical_formula_sum 'Ca4 Tb4 Lu4 In4'
_cell_length_a 7.722
_cell_length_b 7.722
_cell_length_c 7.722
_cell_angle_alpha 90.00
_cell_angle_beta 90.00
_cell_angle_gamma 90.00
_space_group_name_H-M_alt 'F -4 3 m'
_space_group_IT_number 216
_space_group_name_Hall 'F -4 2 3'
loop_
_atom_site_label
_atom_site_fract_x
_atom_site_fract_y
_atom_site_fract_z
Ca1 0.000 0.000 0.000
Tb1 0.250 0.250 0.250
Lu1 0.250 0.250 0.750
In1 0.000 0.000 0.500
# calculated total energy: -3.579 eV/atom
# energy of formation: -0.424 eV/f.u.
# total magnetization: 0.00 μB/cell

(7)
# PBE CaLuTlIn, relaxed
data_CaLuTlIn
_chemical_formula_sum 'Ca4 Lu4 Tl4 In4'
_cell_length_a 7.583
_cell_length_b 7.583
_cell_length_c 7.583
_cell_angle_alpha 90.00
_cell_angle_beta 90.00
_cell_angle_gamma 90.00
_space_group_name_H-M_alt 'F -4 3 m'
_space_group_IT_number 216
_space_group_name_Hall 'F -4 2 3'
loop_
_atom_site_label
_atom_site_fract_x
_atom_site_fract_y
_atom_site_fract_z
Ca1 0.000 0.000 0.000
Lu1 0.000 0.000 0.500
Tl1 0.250 0.250 0.250
In1 0.250 0.250 0.750
# calculated total energy: -3.279 eV/atom
# energy of formation: -1.489 eV/f.u.
# total magnetization: 0.00 μB/cell

(8)
# PBE CaTmLuIn, relaxed
data_CaTmLuIn
_chemical_formula_sum 'Ca4 Tm4 Lu4 In4'
_cell_length_a 7.683
_cell_length_b 7.683
_cell_length_c 7.683
_cell_angle_alpha 90.00
_cell_angle_beta 90.00
_cell_angle_gamma 90.00
_space_group_name_H-M_alt 'F -4 3 m'
_space_group_IT_number 216
_space_group_name_Hall 'F -4 2 3'
loop_
_atom_site_label
_atom_site_fract_x
_atom_site_fract_y
_atom_site_fract_z
Ca1 0.000 0.000 0.000
Tm1 0.250 0.250 0.750
Lu1 0.250 0.250 0.250
In1 0.000 0.000 0.500
# calculated total energy: -3.515 eV/atom
# energy of formation: -0.326 eV/f.u.
# total magnetization: 0.02 μB/cell

(9)
# PBE Ca6Mg2In, relaxed
data_Ca6Mg2In
_chemical_formula_sum 'Ca6 Mg2 In1'
_cell_length_a 5.7190
_cell_length_b 5.7190
_cell_length_c 10.7182
_cell_angle_alpha 90.00
_cell_angle_beta 90.00
_cell_angle_gamma 120.00
_space_group_name_H-M_alt 'P -3 m 1'
_space_group_IT_number 164
_space_group_name_Hall '-P 3 2"'
loop_
_atom_site_label
_atom_site_fract_x
_atom_site_fract_y
_atom_site_fract_z
Ca1 0.0000 0.0000 0.1966
Ca2 0.3333 0.6667 0.0544
Ca3 0.3333 0.6667 0.4083
Mg1 0.3333 0.6667 0.7349
In1 0.0000 0.0000 0.5000
# calculated total energy: -2.112 eV/atom
# energy of formation: -1.074 eV/f.u.
# total magnetization: 0.00 μB/cell

(10)
# PBE CaMg6In6, relaxed
data_CaMg6In6
_chemical_formula_sum 'Ca2 Mg12 In12'
_cell_length_a 6.083
_cell_length_b 9.923
_cell_length_c 10.585
_cell_angle_alpha 90.00
_cell_angle_beta 90.00
_cell_angle_gamma 90.00
_space_group_name_H-M_alt 'I m m m'
_space_group_IT_number 71
_space_group_name_Hall '-I 2 2'
loop_
_atom_site_label
_atom_site_fract_x
_atom_site_fract_y
_atom_site_fract_z
Ca1 0.000 0.000 0.000
Mg1 0.000 0.261 0.500
Mg2 0.250 0.250 0.250
In1 0.000 0.000 0.343
In2 0.000 0.346 0.000
In3 0.000 0.500 0.324
# calculated total energy: -2.297 eV/atom
# energy of formation: -1.865 eV/f.u.
# total magnetization: 0.00 μB/cell

(11)
# PBE Ca3Mg2In4, relaxed
data_Ca3Mg2In4
_chemical_formula_sum 'Ca6 Mg4 In8'
_cell_length_a 11.378
_cell_length_b 5.070
_cell_length_c 9.566
_cell_angle_alpha 90.00
_cell_angle_beta 117.82
_cell_angle_gamma 90.00
_space_group_name_H-M_alt 'C 1 2/m 1'
_space_group_IT_number 12
_space_group_name_Hall '-C 2y'
loop_
_atom_site_label
_atom_site_fract_x
_atom_site_fract_y
_atom_site_fract_z
Ca1 0.000 0.000 0.000
Ca2 0.159 0.500 0.670
Mg1 0.134 0.500 0.305
In1 0.050 0.000 0.380
In2 0.244 0.500 0.080
# calculated total energy: -2.596 eV/atom
# energy of formation: -3.217 eV/f.u.
# total magnetization: 0.00 μB/cell

(12)
# PBE Ca5Mg4In, relaxed
data_Ca5Mg4In
_chemical_formula_sum 'Ca5 Mg4 In1'
_cell_length_a 3.947
_cell_length_b 3.947
_cell_length_c 19.611
_cell_angle_alpha 90.00
_cell_angle_beta 90.00
_cell_angle_gamma 90.00
_space_group_name_H-M_alt 'P 4/m m m'
_space_group_IT_number 123
_space_group_name_Hall '-P 4 2'
loop_
_atom_site_label
_atom_site_fract_x
_atom_site_fract_y
_atom_site_fract_z
Ca1 0.000 0.000 0.000
Ca2 0.000 0.000 0.202
Ca3 0.000 0.000 0.405
Mg1 0.500 0.500 0.100
Mg2 0.500 0.500 0.303
In1 0.500 0.500 0.500
# calculated total energy: -2.079 eV/atom
# energy of formation: -1.665 eV/f.u.
# total magnetization: 0.00 μB/cell

(13)
# PBE CaMg2In, relaxed
data_CaMg2In
_chemical_formula_sum 'Ca2 Mg4 In2'
_cell_length_a 3.915
_cell_length_b 5.209
_cell_length_c 10.510
_cell_angle_alpha 90.00
_cell_angle_beta 90.00
_cell_angle_gamma 90.00
_space_group_name_H-M_alt 'I m m m'
_space_group_IT_number 71
_space_group_name_Hall '-I 2 2'
loop_
_atom_site_label
_atom_site_fract_x
_atom_site_fract_y
_atom_site_fract_z
Ca1 0.000 0.000 0.000
Mg1 0.000 0.500 0.232
In1 0.000 0.000 0.500
# calculated total energy: -2.131 eV/atom
# energy of formation: -0.597 eV/f.u.
# total magnetization: 0.00 μB/cell

(14)
# PBE CaMg3In2, relaxed
data_CaMg3In2
_chemical_formula_sum 'Ca4 Mg12 In8'
_cell_length_a 17.423
_cell_length_b 4.819
_cell_length_c 7.753
_cell_angle_alpha 90.00
_cell_angle_beta 109.76
_cell_angle_gamma 90.00
_space_group_name_H-M_alt 'C 1 2/m 1'
_space_group_IT_number 12
_space_group_name_Hall '-C 2y'
loop_
_atom_site_label
_atom_site_fract_x
_atom_site_fract_y
_atom_site_fract_z
Ca1 0.115 0.000 0.179
Mg1 0.072 0.000 0.695
Mg2 0.125 0.500 0.500
Mg3 0.198 0.500 0.916
In1 0.020 0.500 0.831
In2 0.238 0.000 0.665
# calculated total energy: -2.245 eV/atom
# energy of formation: -1.206 eV/f.u.
# total magnetization: 0.00 μB/cell

(15)
# PBE Ca4MgIn5, relaxed
data_Ca4MgIn5
_chemical_formula_sum 'Ca4 Mg1 In5'
_cell_length_a 3.781
_cell_length_b 3.781
_cell_length_c 19.269
_cell_angle_alpha 90.00
_cell_angle_beta 90.00
_cell_angle_gamma 90.00
_space_group_name_H-M_alt 'P 4/m m m'
_space_group_IT_number 123
_space_group_name_Hall '-P 4 2'
loop_
_atom_site_label
_atom_site_fract_x
_atom_site_fract_y
_atom_site_fract_z
Ca1 0.000 0.000 0.102
Ca2 0.000 0.000 0.309
Mg1 0.000 0.000 0.500
In1 0.500 0.500 0.000
In2 0.500 0.500 0.204
In3 0.500 0.500 0.415
# calculated total energy: -2.723 eV/atom
# energy of formation: -3.940 eV/f.u.
# total magnetization: 0.00 μB/cell

(16)
# PBE CaMgIn, relaxed
data_CaMgIn
_chemical_formula_sum 'Ca1 Mg1 In1'
_cell_length_a 3.6176
_cell_length_b 3.6176
_cell_length_c 7.7483
_cell_angle_alpha 90.00
_cell_angle_beta 90.00
_cell_angle_gamma 120.00
_space_group_name_H-M_alt 'P 3 m 1'
_space_group_IT_number 156
_space_group_name_Hall 'P 3 -2"'
loop_
_atom_site_label
_atom_site_fract_x
_atom_site_fract_y
_atom_site_fract_z
Ca1 0.0000 0.0000 0.0000
Mg1 0.3333 0.6667 0.6386
In1 0.6667 0.3333 0.3364
# calculated total energy: -2.187 eV/atom
# energy of formation: -0.227 eV/f.u.
# total magnetization: 0.00 μB/cell

(17)
# PBE CaMg4In15, relaxed
data_CaMg4In15
_chemical_formula_sum 'Ca1 Mg4 In15'
_cell_length_a 4.636
_cell_length_b 4.636
_cell_length_c 23.543
_cell_angle_alpha 90.00
_cell_angle_beta 90.00
_cell_angle_gamma 90.00
_space_group_name_H-M_alt 'P 4/m m m'
_space_group_IT_number 123
_space_group_name_Hall '-P 4 2'
loop_
_atom_site_label
_atom_site_fract_x
_atom_site_fract_y
_atom_site_fract_z
Ca1 0.000 0.000 0.000
Mg1 0.000 0.000 0.199
Mg2 0.000 0.000 0.400
In1 0.000 0.500 0.103
In2 0.000 0.500 0.300
In3 0.000 0.500 0.500
In4 0.500 0.500 0.000
In5 0.500 0.500 0.202
In6 0.500 0.500 0.401
# calculated total energy: -2.567 eV/atom
# energy of formation: -1.877 eV/f.u.
# total magnetization: 0.00 μB/cell

(18)
# PBE CaMg2In, relaxed
data_CaMg2In
_chemical_formula_sum 'Ca1 Mg2 In1'
_cell_length_a 4.504
_cell_length_b 4.723
_cell_length_c 4.890
_cell_angle_alpha 90.00
_cell_angle_beta 90.00
_cell_angle_gamma 90.00
_space_group_name_H-M_alt 'P m m m'
_space_group_IT_number 47
_space_group_name_Hall '-P 2 2'
loop_
_atom_site_label
_atom_site_fract_x
_atom_site_fract_y
_atom_site_fract_z
Ca1 0.000 0.000 0.000
Mg1 0.000 0.500 0.500
Mg2 0.500 0.000 0.500
In1 0.500 0.500 0.000
# calculated total energy: -2.171 eV/atom
# energy of formation: -0.754 eV/f.u.
# total magnetization: 0.00 μB/cell

(19)
# PBE CaMg2In, relaxed
data_CaMg2In
_chemical_formula_sum 'Ca2 Mg4 In2'
_cell_length_a 6.447
_cell_length_b 11.011
_cell_length_c 3.342
_cell_angle_alpha 90.00
_cell_angle_beta 116.31
_cell_angle_gamma 90.00
_space_group_name_H-M_alt 'C 1 2/m 1'
_space_group_IT_number 12
_space_group_name_Hall '-C 2y'
loop_
_atom_site_label
_atom_site_fract_x
_atom_site_fract_y
_atom_site_fract_z
Ca1 0.000 0.000 0.000
Mg1 0.250 0.250 0.500
In1 0.000 0.500 0.000
# calculated total energy: -2.080 eV/atom
# energy of formation: -0.391 eV/f.u.
# total magnetization: 0.00 μB/cell

(20)
# PBE CaMg2In, relaxed
data_CaMg2In
_chemical_formula_sum 'Ca1 Mg2 In1'
_cell_length_a 3.691
_cell_length_b 3.691
_cell_length_c 7.907
_cell_angle_alpha 90.00
_cell_angle_beta 90.00
_cell_angle_gamma 90.00
_space_group_name_H-M_alt 'P 4/m m m'
_space_group_IT_number 123
_space_group_name_Hall '-P 4 2'
loop_
_atom_site_label
_atom_site_fract_x
_atom_site_fract_y
_atom_site_fract_z
Ca1 0.000 0.000 0.000
Mg1 0.500 0.500 0.285
In1 0.000 0.000 0.500
# calculated total energy: -2.101 eV/atom
# energy of formation: -0.473 eV/f.u.
# total magnetization: 0.00 μB/cell